(1)
VAg2O5 | PBE with a Hubbard U | optimized geometry

## Properties
E	-5.3986	eV/atom
Fermi-level density of states	18.52	states/eV/cell
V	14.1	A^3/atom

Cell: 3.9999 10.9381 10.2777 Å, 90.00 90.00 90.00°
Space group Cmcm (No. 63)
One atom of each set of equivalent atoms:
V (0.0000, 0.1908, 0.2500) x4
Ag (0.0000, 0.1484, 0.5805) x8
O (0.0000, 0.0919, 0.1195) x8
O (0.0000, 0.2661, 0.7500) x4
O (0.0000, 0.3399, 0.1242) x8

=====

(2)
VAgO2 | PBE with a Hubbard U | optimized geometry

## Properties
E	-6.2779	eV/atom
Fermi-level density of states	1.93	states/eV/cell
V	14.0	A^3/atom

Cell: 5.0203 2.9198 7.6192 Å, 90.00 90.10 90.00°
Space group Pm (No. 6)
One atom of each set of equivalent atoms:
V (0.0000, 0.0000, 0.0000) x1
V (0.5003, 0.5000, 0.1242) x1
Ag (0.0011, 0.0000, 0.4962) x1
Ag (0.5007, 0.5000, 0.6334) x1
O (0.2460, 0.5000, 0.9277) x1
O (0.2628, 0.0000, 0.2001) x1
O (0.7383, 0.0000, 0.2001) x1
O (0.7536, 0.5000, 0.9276) x1

=====

(3)
VAg2O2 | PBE with a Hubbard U | optimized geometry

## Properties
E	-4.2845	eV/atom
Fermi-level density of states	4.21	states/eV/cell
V	15.5	A^3/atom

Cell: 4.3680 4.3680 8.1439 Å, 90.00 90.00 90.00°
Space group I4/mmm (No. 139)
One atom of each set of equivalent atoms:
V (0.0000, 0.0000, 0.0000) x2
Ag (0.0000, 0.0000, 0.3375) x4
O (0.0000, 0.5000, 0.2500) x4

=====

(4)
VAgO2 | PBE with a Hubbard U | optimized geometry

## Properties
E	-6.1464	eV/atom
V	17.0	A^3/atom

Cell: 5.3647 5.4772 5.7111 Å, 67.06 74.29 62.39°
Space group P1 (No. 1)
One atom of each set of equivalent atoms:
V (0.0000, 0.0000, 0.0000) x1
V (0.3653, 0.4084, 0.0067) x1
Ag (0.6533, 0.9965, 0.6822) x1
Ag (0.8135, 0.4287, 0.5394) x1
O (0.0650, 0.6254, 0.2179) x1
O (0.1341, 0.2535, 0.9603) x1
O (0.3435, 0.7640, 0.8005) x1
O (0.6357, 0.1520, 0.2050) x1

=====

(5)
VAgO2 | PBE with a Hubbard U | optimized geometry

## Properties
E	-6.4109	eV/atom
Fermi-level density of states	2.12	states/eV/cell
V	15.0	A^3/atom

Cell: 2.9259 3.8559 10.6469 Å, 89.48 89.09 90.00°
Space group P-1 (No. 2)
One atom of each set of equivalent atoms:
V (0.2243, 0.2484, 0.0962) x2
Ag (0.2457, 0.7479, 0.5709) x2
O (0.2355, 0.7561, 0.7915) x2
O (0.2552, 0.7480, 0.0437) x2

=====

(6)
VAg2O | PBE with a Hubbard U | optimized geometry

## Properties
E	-4.5937	eV/atom
Fermi-level density of states	10.20	states/eV/cell
V	18.8	A^3/atom

Cell: 8.9746 8.9746 3.7327 Å, 90.00 90.00 90.00°
Space group I-42d (No. 122)
One atom of each set of equivalent atoms:
V (0.0000, 0.0000, 0.0000) x4
Ag (0.1391, 0.7500, 0.6250) x8
O (0.0000, 0.0000, 0.5000) x4

=====

(7)
V2AgWO8 | PBE with a Hubbard U | optimized geometry

## Properties
E	-6.9020	eV/atom
V	12.6	A^3/atom

Cell: 7.0760 7.0760 6.0478 Å, 90.00 90.00 90.00°
Space group I-4m2 (No. 119)
One atom of each set of equivalent atoms:
V (0.0000, 0.0000, 0.0000) x2
V (0.0000, 0.5000, 0.2500) x2
Ag (0.0000, 0.0000, 0.5000) x2
W (0.0000, 0.5000, 0.7500) x2
O (0.0000, 0.2110, 0.8476) x8
O (0.0000, 0.3261, 0.4564) x8

=====

(8)
VZnAg2O4 | PBE with a Hubbard U | optimized geometry

## Properties
E	-5.3422	eV/atom
Fermi-level density of states	2.73	states/eV/cell
V	15.1	A^3/atom

Cell: 6.3210 7.3419 5.1890 Å, 90.00 90.00 90.00°
Space group Pmn2_1 (No. 31)
One atom of each set of equivalent atoms:
V (0.0000, 0.1240, 0.0000) x2
Zn (0.0000, 0.8649, 0.5010) x2
Ag (0.2500, 0.4031, 0.5068) x4
O (0.0000, 0.1114, 0.6671) x2
O (0.0000, 0.9040, 0.1241) x2
O (0.2291, 0.2445, 0.1016) x4

=====

Q: Among the records above, which one has the highest E?
A: VAg2O2